Compound: MnWSe2
Source: Alexandria via LeMat-Bulk
Functional: GGA-PBEsol
Structure: relaxed

Cell lengths 4.431, 4.431, 4.431 Å; angles 60.00, 60.00, 60.00 degrees
Element x y z (fractional)
Mn 0.000 0.000 0.000
Se 0.250 0.250 0.250
Se 0.750 0.750 0.750
W 0.500 0.500 0.500

Calculated values
Total magnetic moment, μB/f.u.: 4.2
Energy above the most stable polymorph in this dataset, eV/atom: 0.291
Formation energy from raw total energies, eV per atom: 0.239
SG: Fm-3m (225)
DOS at the Fermi energy, states/eV/f.u.: 3.1
Crystal system: cubic
Electronic total energy, Ry/atom: -0.5570